Compound: Rb3CdTe2
Source: the Alexandria database
Functional: PBE-GGA
Structure: relaxed

POSCAR file:
```
Rb3CdTe2
1.0
-4.233 8.080 4.601
4.233 -8.080 4.601
4.233 8.080 -4.601
Rb Cd Te
6 2 4
Cartesian
4.233 -3.737 2.301
0.000 0.000 2.301
4.233 3.737 2.301
0.000 4.342 2.301
0.000 0.000 6.902
0.000 11.817 2.301
4.233 0.000 0.000
0.000 8.080 0.000
2.014 2.040 0.000
2.014 -2.040 4.601
2.220 10.120 0.000
2.220 6.039 4.601
```

## Properties
Magnetization, μB per atom: 0.05
Formation energy without anion corrections, kJ/mol of formula units: -393
Space group: Ibam, No. 72